Record 1
TaSiAg2 (GGA-PBEsol, optimized geometry); uncorrected energy = -6.173 eV/atom; space group = Cmm2 (35)
1.0
2.7968 0.0190 0.0000
-0.5427 2.7437 0.0000
0.0000 0.0000 8.3594
Si Ta Ag
1 1 2
Direct
0.0000 0.0000 0.4947
0.5000 0.5000 0.2663
0.5000 0.5000 0.7374
0.0000 0.0000 0.0016

=====

Record 2
TaSiAg2 (GGA-PBEsol, optimized geometry); uncorrected energy = -6.143 eV/atom; space group = P4/mmm (123)
1.0
3.7769 0.0000 0.0000
0.0000 3.7769 0.0000
0.0000 0.0000 4.4855
Si Ta Ag
1 1 2
Direct
0.5000 0.5000 0.5000
0.0000 0.0000 0.5000
0.5000 0.0000 0.0000
0.0000 0.5000 0.0000

=====

Record 3
TaSiAg2 (GGA-PBEsol, optimized geometry); uncorrected energy = -5.990 eV/atom; space group = R-3m (166)
1.0
-0.5859 -1.7837 2.1336
1.6161 0.0015 2.3378
-5.2028 5.8091 5.3205
Ta Ag Si
1 2 1
Direct
0.0000 0.0000 0.0000
0.7546 0.7546 0.7363
0.2454 0.2454 0.2637
0.5000 0.5000 0.5000

=====

Record 4
TaSiAg2 (GGA-PBEsol, optimized geometry); uncorrected energy = -6.026 eV/atom; space group = I4/mmm (139)
1.0
-3.1310 1.9484 -0.7860
-1.9401 -2.1401 2.4234
3.5059 3.0050 2.5273
Ta Ag Si
1 2 1
Direct
0.0000 0.0000 0.0000
0.7500 0.2500 0.5000
0.2500 0.7500 0.5000
0.5000 0.5000 0.0000

=====

Per-record E_form (uncorrected), meV/atom: 57.5 86.8 239.8 204.4